Here is an optimized crystal structure of Ce3Sb4Pt7 from the Alexandria database. Energies are from PBE.

Properties
The raw total energy comes out at -88.856 eV for the cell shown. For the uncorrected formation energy, the calculation gives -0.877 eV per atom.

Unit cell a=8.596 b=8.596 c=10.500 alpha=52.54 beta=52.54 gamma=29.27
Element x y z (fractional)
Ce  0.173  0.173  0.342
Sb  0.172  0.172  0.683
Pt  0.983  0.983  0.704
Pt  0.376  0.376  0.402
Pt  0.832  0.832  0.064
Pt  0.624  0.624  0.598
Sb  0.828  0.828  0.317
Sb  0.640  0.640  0.130
Ce  0.500  0.500  0.000
Pt  0.168  0.168  0.936
Pt  0.017  0.017  0.296
Pt  0.500  0.500  0.500
Sb  0.360  0.360  0.870
Ce  0.827  0.827  0.658